1.
Entry from Alexandria: a relaxed Mn2NiCl crystal (PBE-GGA).

Computed properties:
ΔE_f (raw): 0.170 eV per atom
E_tot: -25.29 eV for the cell shown
N(E_F): 0.9501 states/eV/atom
Magnetization: 6.7 μB/cell
Energy above the most stable polymorph in this dataset: 0.1966 eV per atom

```
data_Mn2NiCl
_cell_length_a 3.023
_cell_length_b 2.960
_cell_length_c 6.758
_cell_angle_alpha 90.00
_cell_angle_beta 90.01
_cell_angle_gamma 90.00
_space_group_name_H-M_alt 'P 1'
_space_group_IT_number 1
loop_
_space_group_symop_operation_xyz
'x,y,z'
loop_
_atom_site_label
_atom_site_fract_x
_atom_site_fract_y
_atom_site_fract_z
Mn1 0.000 0.000 0.000
Mn2 0.499 0.500 0.761
Ni1 0.000 0.000 0.582
Cl1 0.997 0.500 0.283
```

2.
Entry from Alexandria: a relaxed EuGdHoIn crystal (PBE-GGA).

Computed properties:
ΔE_f: -0.1161 eV per atom
E_tot: -128.54 eV for the cell shown
N(E_F): 1.5169 states/eV/atom
Magnetization: 59.6 μB/cell

```
data_EuGdHoIn
_cell_length_a 7.842
_cell_length_b 7.842
_cell_length_c 7.842
_cell_angle_alpha 90.00
_cell_angle_beta 90.00
_cell_angle_gamma 90.00
_space_group_name_H-M_alt 'P 1'
_space_group_IT_number 1
loop_
_space_group_symop_operation_xyz
'x,y,z'
loop_
_atom_site_label
_atom_site_fract_x
_atom_site_fract_y
_atom_site_fract_z
Eu1 0.000 0.000 0.000
Eu2 0.000 0.500 0.500
Eu3 0.500 0.000 0.500
Eu4 0.500 0.500 0.000
Gd1 0.000 0.000 0.500
Gd2 0.000 0.500 0.000
Gd3 0.500 0.000 0.000
Gd4 0.500 0.500 0.500
Ho1 0.250 0.250 0.750
Ho2 0.250 0.750 0.250
Ho3 0.750 0.250 0.250
Ho4 0.750 0.750 0.750
In1 0.250 0.250 0.250
In2 0.250 0.750 0.750
In3 0.750 0.250 0.750
In4 0.750 0.750 0.250
```

3.
Entry from Alexandria: a relaxed KPt crystal (PBE-GGA).

Computed properties:
ΔE_f: -0.0177 eV per atom
E_tot: -57.39 eV for the cell shown
N(E_F): 0.8757 states/eV/atom
Magnetization: 0.0 μB/cell

```
data_KPt
_cell_length_a 11.974
_cell_length_b 11.974
_cell_length_c 4.601
_cell_angle_alpha 90.00
_cell_angle_beta 90.00
_cell_angle_gamma 90.00
_space_group_name_H-M_alt 'P 1'
_space_group_IT_number 1
loop_
_space_group_symop_operation_xyz
'x,y,z'
loop_
_atom_site_label
_atom_site_fract_x
_atom_site_fract_y
_atom_site_fract_z
K1 0.000 0.317 0.000
K2 0.000 0.683 0.000
K3 0.317 0.000 0.000
K4 0.328 0.328 0.500
K5 0.328 0.672 0.500
K6 0.672 0.328 0.500
K7 0.672 0.672 0.500
K8 0.683 0.000 0.000
Pt1 0.110 0.500 0.500
Pt2 0.191 0.500 0.000
Pt3 0.500 0.110 0.500
Pt4 0.500 0.191 0.000
Pt5 0.500 0.809 0.000
Pt6 0.500 0.890 0.500
Pt7 0.809 0.500 0.000
Pt8 0.890 0.500 0.500
```

Which value of N(E_F) does entry 1 give?
0.9501 states/eV/atom